Compound: UAlNi
Source: OQMD via LeMat-Bulk
Functional: PBE-GGA
Structure: optimized geometry

size of the total moment = 0.0098 μB per atom
energy = -7.030 eV per atom

a b c (Å): 4.4787 4.4787 5.5887
angles (deg): 90.00 90.00 120.00
With the nearest neighbours (Å) after each atom.
Positions (direct):
Ni: 0.6667 0.3333 0.4974  5 Al 2.59-2.82
Ni: 0.3333 0.6667 0.9974  5 Al 2.59-2.82
Al: 0.3333 0.6667 0.5017  5 Ni 2.59-2.82
Al: 0.6667 0.3333 0.0017  5 Ni 2.59-2.82
U: 0.0000 0.0000 0.2509  2 U 2.79, 6 Ni 2.93-2.95, 6 Al 2.94
U: 0.0000 0.0000 0.7509  2 U 2.79, 6 Ni 2.93-2.95, 6 Al 2.94

Compound: Li2HfCo
Source: OQMD via LeMat-Bulk
Functional: PBE-GGA
Structure: optimized geometry

energy above the most stable polymorph in this dataset = 4 meV per atom
size of the total moment = 0.0057 μB per atom

a b c (Å): 4.3108 4.3108 4.3108
angles (deg): 60.00 60.00 60.00
With the nearest neighbours (Å) after each atom.
Positions (direct):
Hf: 0.2500 0.2500 0.2500  4 Co 2.64, 4 Li 2.64
Li: 0.7500 0.7500 0.7500  4 Li 2.64, 4 Co 2.64
Li: 0.0000 0.0000 0.0000  4 Li 2.64, 4 Hf 2.64
Co: 0.5000 0.5000 0.5000  4 Li 2.64, 4 Hf 2.64